(1)
Below is NaLiCu2 after structural relaxation, with properties calculated at the GGA-PBE level.

abc: 4.635 4.635 9.236
angles: 75.47 75.47 90.00
Element x y z (fractional)
Na1 0.750 0.250 0.500
Na2 0.000 0.000 0.000
Cu1 0.875 0.625 0.750
Li1 0.500 0.500 0.000
Cu2 0.375 0.125 0.250
Cu3 0.375 0.625 0.250
Cu4 0.375 0.625 0.750
Li2 0.250 0.750 0.500

* ρ: 2.811 g cm⁻³
* SG: I4_1/amd, No. 141
* relative energy among the computed polymorphs: 100.6 meV/atom
* formation enthalpy at 0 K: 0.38 eV per atom
* total magnetic moment: 0.00 μB per atom

(2)
Below is HoCd2Au8 after structural relaxation, with properties calculated at the GGA-PBE level.

abc: 4.282 6.744 7.896
angles: 105.21 105.73 90.00
Element x y z (fractional)
Au1 0.043 0.724 0.085
Au2 0.405 0.543 0.809
Au3 0.681 0.912 0.362
Au4 0.957 0.276 0.915
Au5 0.863 0.812 0.725
Au6 0.595 0.457 0.191
Au7 0.137 0.188 0.275
Au8 0.319 0.088 0.638
Cd1 0.775 0.352 0.551
Cd2 0.225 0.648 0.449
Ho1 0.500 0.000 0.000

* ρ: 15.458 g cm⁻³
* SG: C2/m, No. 12
* formation enthalpy at 0 K: -0.33 eV per atom
* total magnetic moment: 0.00 μB per atom

(3)
Below is ZnNi14Sn after structural relaxation, with properties calculated at the GGA-PBE level.

abc: 5.097 5.097 7.120
angles: 90.00 90.00 90.00
Site moments in Bohr magnetons follow the coordinates.
Element x y z (fractional)
Ni1 0.621 0.129 0.762  0.44
Ni2 0.129 0.129 0.762  0.44
Ni3 0.129 0.621 0.238  0.44
Ni4 0.129 0.129 0.238  0.44
Sn1 0.875 0.875 0.500  -0.04
Ni5 0.375 0.375 0.000  0.45
Ni6 0.621 0.621 0.762  0.44
Ni7 0.875 0.375 0.000  0.59
Ni8 0.875 0.875 0.000  0.60
Ni9 0.621 0.621 0.238  0.44
Ni10 0.875 0.375 0.500  0.26
Ni11 0.621 0.129 0.238  0.44
Zn1 0.375 0.375 0.500  -0.03
Ni12 0.375 0.875 0.500  0.26
Ni13 0.129 0.621 0.762  0.44
Ni14 0.375 0.875 0.000  0.59

* ρ: 9.029 g cm⁻³
* SG: P4/mmm, No. 123
* formation enthalpy at 0 K: -0.05 eV per atom
* total magnetic moment: 0.36 μB per atom

(4)
Below is K2Ti3Te6 after structural relaxation, with properties calculated at the GGA-PBE level.

abc: 6.834 6.837 8.923
angles: 82.61 75.08 60.01
Site moments in Bohr magnetons follow the coordinates.
Element x y z (fractional)
Te1 0.602 0.330 0.193  -0.04
Te2 0.068 0.330 0.807  -0.04
Ti1 0.331 0.338 0.000  0.67
Ti2 0.000 0.000 0.000  0.66
K1 0.834 0.332 0.500  0.00
Te3 0.273 0.000 0.191  -0.04
Te4 0.727 0.000 0.809  -0.04
Ti3 0.669 0.662 0.000  0.67
Te5 0.932 0.670 0.193  -0.04
Te6 0.398 0.670 0.807  -0.04
K2 0.166 0.668 0.500  0.00

* ρ: 4.698 g cm⁻³
* SG: C2/m, No. 12
* formation energy (no corrections): -0.83 eV/atom
* total magnetic moment: 0.19 μB per atom

(5)
Below is LiInPt2Br after structural relaxation, with properties calculated at the GGA-PBE level.

abc: 4.459 4.906 4.459
angles: 90.00 90.00 90.00
Element x y z (fractional)
In1 0.000 0.500 0.000
Br1 0.500 0.500 0.500
Pt1 0.000 0.000 0.500
Pt2 0.500 0.000 0.000
Li1 0.000 0.000 0.000

* ρ: 10.073 g cm⁻³
* SG: P4/mmm, No. 123
* relative energy among the computed polymorphs: 178.5 meV/atom
* formation energy (no corrections): 0.46 eV/atom
* total magnetic moment: 0.00 μB per atom

(6)
Below is RbH after structural relaxation, with properties calculated at the GGA-PBE level.

abc: 4.680 4.680 6.317
angles: 90.00 90.00 90.00
Element x y z (fractional)
Rb1 0.500 0.500 0.000
H1 0.000 0.500 0.250
H2 0.500 0.000 0.750
Rb2 0.000 0.000 0.500

* ρ: 2.076 g cm⁻³
* SG: I-4m2, No. 119
* calculated total energy: -0.083 Ha/atom
* total magnetic moment: 0.00 μB per atom

(7)
Below is EuIrO2 after structural relaxation, with properties calculated at the GGA-PBE level.

abc: 3.642 3.642 6.383
angles: 73.42 73.42 60.00
Site moments in Bohr magnetons follow the coordinates.
Element x y z (fractional)
O1 0.894 0.894 0.319  0.23
Ir1 0.000 0.000 0.000  1.24
O2 0.106 0.106 0.681  0.23
Eu1 0.500 0.500 0.500  -6.44

* ρ: 9.025 g cm⁻³
* SG: R-3m, No. 166
* formation energy (no corrections): -1.44 eV/atom
* total magnetic moment: 1.19 μB per atom

(8)
Below is Tb2DyY6 after structural relaxation, with properties calculated at the GGA-PBE level.

abc: 9.074 9.534 9.534
angles: 76.07 57.20 57.20
Element x y z (fractional)
Y1 0.396 0.900 0.160
Y2 0.604 0.100 0.840
Tb1 0.450 0.909 0.715
Y3 0.803 0.112 0.442
Tb2 0.550 0.091 0.285
Y4 0.985 0.690 0.517
Dy1 0.250 0.326 0.674
Y5 0.197 0.888 0.558
Tb3 0.050 0.285 0.091
Y6 0.896 0.160 0.900
Y7 0.697 0.558 0.888
Y8 0.485 0.517 0.690
Y9 0.515 0.483 0.310
Dy2 0.750 0.674 0.326
Tb4 0.950 0.715 0.909
Y10 0.015 0.310 0.483
Y11 0.303 0.442 0.112
Y12 0.104 0.840 0.100

* ρ: 5.793 g cm⁻³
* SG: C2/c, No. 15
* relative energy among the computed polymorphs: 0.0 meV/atom
* formation enthalpy at 0 K: 0.07 eV per atom
* total magnetic moment: 0.00 μB per atom

| no. | volume (Å³ per cell) |
| --- | --- |
| 1 | 185.52 |
| 2 | 211.13 |
| 3 | 184.98 |
| 4 | 348.98 |
| 5 | 97.57 |
| 6 | 138.36 |
| 7 | 69.22 |
| 8 | 581.19 |